First-principles (PBE) data for an optimized crystal structure of LiFeBTe2, as listed in Alexandria via LeMat-Bulk.

abc: 5.224 5.224 3.774
angles: 90.00 90.00 90.00
Space group P4/mmm (No. 123)
Unique sites:
Li 0.000 0.000 0.000 [1 per cell]
Fe 0.500 0.500 0.500 [1 per cell]
B 0.500 0.500 0.000 [1 per cell]
Te 0.000 0.500 0.500 [2 per cell]

Values from the calculation:
For the total energy, the calculation gives -4.393 eV per atom. As for the size of the total moment: 1.5 μB/f.u. The calculation puts the calculated volume at 103.0 Å³/cell.

First-principles (PBE) data for an optimized crystal structure of ZrTi12Nb6, as listed in Alexandria via LeMat-Bulk.

abc: 13.5279 13.5279 6.6480
angles: 90.00 90.00 120.00
Space group R-3m (No. 166, hexagonal axes)
Unique sites:
Zr 0.0000 0.0000 0.0000 [3 per cell]
Ti 0.0000 0.2920 0.5000 [18 per cell]
Ti 0.0803 0.1607 0.3360 [18 per cell]
Nb 0.1022 0.5511 0.5433 [18 per cell]

Values from the calculation:
As for the size of the total moment: 0.0 μB/f.u. For the energy relative to the elements, the calculation gives 0.29 eV per atom. The calculation puts the calculated volume at 1053.6 Å³/cell.

First-principles (PBE) data for an optimized crystal structure of TiMnPb, as listed in Alexandria via LeMat-Bulk.

abc: 3.5773 3.5773 10.9031
angles: 90.00 90.00 120.00
Space group P-3m1 (No. 164)
Unique sites:
Ti 0.0000 0.0000 0.1559 [2 per cell]
Mn 0.3333 0.6667 0.9751 [2 per cell]
Pb 0.3333 0.6667 0.3733 [2 per cell]

Values from the calculation:
As for the size of the total moment: 0.0 μB/f.u. For the energy relative to the elements, the calculation gives 0.11 eV per atom. The calculation puts the calculated volume at 120.8 Å³/cell.

First-principles (PBE) data for an optimized crystal structure of BaSr2AuN, as listed in Alexandria via LeMat-Bulk.

abc: 5.184 5.184 5.630
angles: 90.00 90.00 90.00
Space group P4/mmm (No. 123)
Unique sites:
Ba 0.000 0.000 0.000 [1 per cell]
Sr 0.000 0.500 0.500 [2 per cell]
Au 0.500 0.500 0.000 [1 per cell]
N 0.000 0.000 0.500 [1 per cell]

Values from the calculation:
For the total energy, the calculation gives -3.874 eV per atom. As for the size of the total moment: 0.0 μB/f.u. The calculation puts the calculated volume at 151.3 Å³/cell.

First-principles (PBE) data for an optimized crystal structure of ThPaO5, as listed in Alexandria via LeMat-Bulk.

abc: 4.272 6.945 8.684
angles: 90.00 90.00 90.00
Space group Immm (No. 71)
Unique sites:
Th 0.000 0.000 0.000 [2 per cell]
Pa 0.000 0.000 0.500 [2 per cell]
O 0.000 0.000 0.276 [4 per cell]
O 0.000 0.324 0.000 [4 per cell]
O 0.000 0.500 0.500 [2 per cell]

Values from the calculation:
For the total energy, the calculation gives -9.052 eV per atom. As for the size of the total moment: 0.6 μB/f.u. The calculation puts the calculated volume at 257.7 Å³/cell.

First-principles (PBE) data for an optimized crystal structure of MnHg2Cl, as listed in Alexandria via LeMat-Bulk.

abc: 4.710 3.345 7.101
angles: 90.00 109.07 90.00
Space group P2/m (No. 10)
Unique sites:
Mn 0.000 0.000 0.000 [1 per cell]
Hg 0.177 0.500 0.350 [2 per cell]
Cl 0.500 0.000 0.000 [1 per cell]

Values from the calculation:
As for the size of the total moment: 4.3 μB/f.u. The energy relative to the lowest polymorph listed for this composition comes out at 0.051 eV/atom. The calculation puts the calculated volume at 105.7 Å³/cell.

- The highest calculated volume belongs to which entry?
  ZrTi12Nb6